Here is a geometry-optimized AgGeC3 structure from the Alexandria database. Energies are from PBE.

Lattice parameters (Å, degrees): 4.1833 4.1833 4.1833 90.00 90.00 90.00
With the nearest neighbours (Å) after each atom.
Fractional positions:
Ag: 0.0000 0.0000 0.0000  6 C 2.09
Ge: 0.5000 0.5000 0.5000  12 C 2.96
C: 0.0000 0.0000 0.5000  2 Ag 2.09
C: 0.0000 0.5000 0.0000  2 Ag 2.09
C: 0.5000 0.0000 0.0000  2 Ag 2.09

- Volume: 14.64 A^3/atom
- Calculated total energy: -3.781 eV per atom
- Space-group type: Pm-3m (221)
- DFT formation energy: 3.2475 eV/atom
- ΔE to the lowest computed polymorph: 586 meV/atom